1.
The following is a DFT calculation (GGA-PBE) of a geometry-optimized PmThZnHg structure.

Unit cell a=5.3087 b=5.3087 c=5.3087 alpha=60.00 beta=60.00 gamma=60.00
Fractional coordinates of all 4 atoms:
Zn 0.0000 0.0000 0.0000
Hg 0.5000 0.5000 0.5000
Th 0.7500 0.7500 0.7500
Pm 0.2500 0.2500 0.2500

- Formation energy from the elements: -0.243 eV per atom
- Raw total energy: -3.680 eV per atom
- Space-group type: F-43m
- Theoretical density: 10093 kg/m3

---

2.
The following is a DFT calculation (GGA-PBE) of a geometry-optimized ReGe structure.

Unit cell a=11.1911 b=11.1911 c=2.7454 alpha=90.00 beta=90.00 gamma=120.00
Fractional coordinates of all 12 atoms:
Re 0.0271 0.4193 0.2500
Re 0.6078 0.0271 0.7500
Re 0.5807 0.6078 0.2500
Re 0.9729 0.5807 0.7500
Re 0.3922 0.9729 0.2500
Re 0.4193 0.3922 0.7500
Ge 0.8144 0.1928 0.2500
Ge 0.6217 0.8144 0.7500
Ge 0.8072 0.6217 0.2500
Ge 0.1856 0.8072 0.7500
Ge 0.3783 0.1856 0.2500
Ge 0.1928 0.3783 0.7500

- Formation energy from the elements: 0.572 eV per atom
- Raw total energy: -7.961 eV per atom
- Space-group type: P6_3/m
- Theoretical density: 8661 kg/m3

---

3.
The following is a DFT calculation (GGA-PBE) of a geometry-optimized CeY4Cd5 structure.

Unit cell a=3.7382 b=3.7382 c=19.1095 alpha=90.00 beta=90.00 gamma=90.00
Fractional coordinates of all 10 atoms:
Ce 0.0000 0.0000 0.0000
Y 0.0000 0.0000 0.2051
Y 0.0000 0.0000 0.4018
Y 0.0000 0.0000 0.5982
Y 0.0000 0.0000 0.7949
Cd 0.5000 0.5000 0.1089
Cd 0.5000 0.5000 0.3033
Cd 0.5000 0.5000 0.5000
Cd 0.5000 0.5000 0.6967
Cd 0.5000 0.5000 0.8911

- Formation energy from the elements: -0.304 eV per atom
- Raw total energy: -3.941 eV per atom
- Space-group type: P4/mmm
- Theoretical density: 6578 kg/m3